1.
Here is a relaxed structure of ThAsRh2 from Alexandria via LeMat-Bulk. Energies are from PBE.

extended XYZ file:
```
4
Lattice="4.231 0.000 0.000 2.116 3.664 0.000 2.116 1.221 4.978" Properties=species:S:1:pos:R:3 pbc="T T T"
Rh 6.347 3.664 3.215
Rh 2.116 1.221 1.762
Th 0.000 0.000 0.000
As 4.231 2.443 2.489
```

Output
As for the density of states at the Fermi level: 0.54 states/eV/atom. The value obtained for the uncorrected energy is -30.09 eV per cell.

2.
Here is a relaxed structure of Sm2HoTmTl2 from Alexandria via LeMat-Bulk. Energies are from PBE.

extended XYZ file:
```
12
Lattice="5.113 0.000 0.000 0.000 6.831 0.000 0.000 0.000 10.082" Properties=species:S:1:pos:R:3 pbc="T T T"
Sm 0.000 2.257 1.891
Sm 2.556 3.790 9.657
Sm 0.000 5.673 8.191
Sm 2.556 0.374 0.425
Tm 2.556 1.228 6.904
Tm 2.556 4.644 3.178
Tl 0.000 2.046 8.637
Tl 0.000 5.462 1.445
Tl 2.556 1.494 3.767
Tl 2.556 4.909 6.315
Ho 0.000 6.573 4.627
Ho 0.000 3.158 5.455
```

Output
As for the density of states at the Fermi level: 1.03 states/eV/atom. The value obtained for the uncorrected energy is -49.62 eV per cell.

3.
Here is a relaxed structure of Ce6IrOs2Br3 from Alexandria via LeMat-Bulk. Energies are from PBE.

extended XYZ file:
```
12
Lattice="-0.300 0.441 -7.054 1.165 -6.247 3.107 -7.816 0.650 1.555" Properties=species:S:1:pos:R:3 pbc="T T T"
Os 0.189 -1.789 -3.666
Os 0.677 -4.017 -0.280
Ce -6.050 -1.056 0.177
Ce -5.376 -5.053 -0.061
Ce -5.870 -2.798 -3.486
Ce -0.900 -4.100 -2.569
Ce -1.574 -0.103 -2.331
Ce -1.081 -2.358 1.094
Br -3.475 -2.578 -1.196
Br -2.987 -4.805 2.188
Br -3.963 -0.351 -4.580
Ir 0.000 0.000 0.000
```

Output
As for the density of states at the Fermi level: 2.57 states/eV/atom. Its formation energy (no corrections) is -857 meV per atom. The value obtained for the uncorrected energy is -82.23 eV per cell.

4.
Here is a relaxed structure of HfZr2CuH from Alexandria via LeMat-Bulk. Energies are from PBE.

extended XYZ file:
```
5
Lattice="-2.915 -1.756 2.709 -1.784 -2.166 -3.324 2.687 -3.334 0.730" Properties=species:S:1:pos:R:3 pbc="T T T"
Zr -0.892 -1.083 -1.662
Zr -1.458 -0.878 1.355
H 0.000 0.000 0.000
Cu -1.007 -3.628 0.058
Hf 1.343 -1.667 0.365
```

Output
As for the density of states at the Fermi level: 1.11 states/eV/atom. The value obtained for the uncorrected energy is -34.98 eV per cell.

5.
Here is a relaxed structure of Sr3RhF12 from Alexandria via LeMat-Bulk. Energies are from PBE.

extended XYZ file:
```
16
Lattice="3.960 -6.828 0.000 3.960 6.828 0.000 0.000 0.000 6.292" Properties=species:S:1:pos:R:3 pbc="T T T"
F 1.171 1.165 5.100
F 6.748 1.165 5.100
F 1.171 1.165 1.192
F 3.960 2.878 1.291
F 6.748 -1.165 1.192
F 3.960 -2.878 5.001
F 3.960 2.878 5.001
F 6.748 -1.165 5.100
F 1.171 -1.165 1.192
F 1.171 -1.165 5.100
F 6.748 1.165 1.192
F 3.960 -2.878 1.291
Sr 1.980 3.414 0.000
Sr 0.000 0.000 3.146
Sr 1.980 -3.414 0.000
Rh 0.000 0.000 0.000
```

Output
As for the density of states at the Fermi level: 0.37 states/eV/atom. Its formation energy (no corrections) is -2522 meV per atom. The value obtained for the uncorrected energy is -75.20 eV per cell.

6.
Here is a relaxed structure of CaCuW3 from Alexandria via LeMat-Bulk. Energies are from PBE.

extended XYZ file:
```
5
Lattice="-1.491 -3.467 2.726 4.400 -0.972 1.171 -0.303 2.951 3.588" Properties=species:S:1:pos:R:3 pbc="T T T"
Ca 1.303 -0.744 3.743
W -0.746 -1.734 1.363
W -0.152 1.476 1.794
W 2.200 -0.486 0.586
Cu 0.000 0.000 0.000
```

Output
As for the density of states at the Fermi level: 1.53 states/eV/atom. The value obtained for the uncorrected energy is -36.12 eV per cell.

7.
Here is a relaxed structure of Re2Ir3 from Alexandria via LeMat-Bulk. Energies are from PBE.

extended XYZ file:
```
20
Lattice="-3.122 -1.844 -2.033 3.333 -7.362 1.561 -4.870 -0.520 7.948" Properties=species:S:1:pos:R:3 pbc="T T T"
Ir 1.925 -6.797 1.084
Ir -2.885 -3.456 5.439
Ir -1.869 -4.184 0.289
Ir -1.177 -1.592 1.125
Ir -2.790 -5.543 7.186
Ir -6.584 -2.929 6.391
Ir -5.099 -2.685 3.891
Ir 0.441 -7.041 3.585
Ir -1.232 -5.462 4.720
Ir -1.774 -6.270 2.036
Ir -3.482 -8.135 6.350
Ir -3.427 -4.264 2.755
Re -4.286 -3.457 7.591
Re -4.490 -1.333 5.978
Re -0.168 -8.393 1.497
Re -2.209 -7.850 4.138
Re -2.449 -1.876 3.337
Re -0.373 -6.269 -0.116
Re -0.800 -3.846 2.592
Re -3.858 -5.880 4.883
```

Output
As for the density of states at the Fermi level: 0.70 states/eV/atom. The value obtained for the uncorrected energy is -201.91 eV per cell.

8.
Here is a relaxed structure of Ti6NbMo2 from Alexandria via LeMat-Bulk. Energies are from PBE.

extended XYZ file:
```
9
Lattice="-0.401 -3.968 -2.472 3.296 3.143 -1.126 5.075 -3.559 4.890" Properties=species:S:1:pos:R:3 pbc="T T T"
Ti 3.409 -0.175 -0.272
Ti 5.261 -1.466 1.500
Ti 4.222 -2.958 4.064
Ti 2.709 -2.918 -0.209
Ti 3.747 -1.426 -2.772
Ti 4.561 -4.210 1.563
Mo 1.109 -1.794 -1.754
Mo 6.861 -2.591 3.046
Nb 2.537 -1.780 2.445
```

Output
As for the density of states at the Fermi level: 1.42 states/eV/atom. The value obtained for the uncorrected energy is -79.23 eV per cell.

9.
Here is a relaxed structure of Ce2Mg3Tl4 from Alexandria via LeMat-Bulk. Energies are from PBE.

extended XYZ file:
```
18
Lattice="-2.450 3.859 -4.733 -5.348 -6.316 -2.381 -4.597 0.973 7.746" Properties=species:S:1:pos:R:3 pbc="T T T"
Mg 0.000 0.000 0.000
Mg -5.793 2.620 -1.726
Mg -3.899 -1.229 -3.557
Mg -4.568 0.691 0.641
Mg -7.827 -2.175 -0.009
Mg -6.603 -4.104 2.358
Tl -5.180 3.586 1.030
Tl -3.783 1.619 -3.583
Tl -7.215 -5.069 -0.398
Tl -6.253 -1.058 2.374
Tl -8.612 -3.102 4.215
Tl -2.558 -0.311 -1.216
Tl -9.837 -1.173 1.848
Tl -6.142 -0.426 -1.742
Ce -5.061 1.722 4.023
Ce -7.334 -3.206 -3.391
Ce -4.389 -3.104 -0.259
Ce -8.006 1.620 0.891
```

Output
As for the density of states at the Fermi level: 2.08 states/eV/atom. The value obtained for the uncorrected energy is -54.66 eV per cell.

10.
Here is a relaxed structure of NdTmTiIn from Alexandria via LeMat-Bulk. Energies are from PBE.

extended XYZ file:
```
4
Lattice="-1.505 -3.463 -3.718 2.382 -4.721 -0.343 -2.619 -4.396 1.378" Properties=species:S:1:pos:R:3 pbc="T T T"
Ti 0.000 0.000 0.000
In -0.871 -6.290 -1.342
Nd -0.436 -3.145 -0.671
Tm -1.307 -9.435 -2.012
```

Output
As for the density of states at the Fermi level: 1.32 states/eV/atom. The value obtained for the uncorrected energy is -20.12 eV per cell.